Computed, not measured: a relaxed Li2OsRu crystal at the PBE level of DFT.

Output
Fermi-level density of states (states/eV/atom): 0.738
Total DFT energy (no corrections) (eV per cell): -22.2
Magnetization (μB per atom): 0.000

Cell: 4.5330 4.5330 2.4759 Å, 90.00 90.00 90.00°
Space group P4/mmm (No. 123)
Symmetry-distinct sites (fractional):
Li1 0.0000 0.5000 0.0000 [2 per cell]
Os1 0.0000 0.0000 0.5000 [1 per cell]
Ru1 0.5000 0.5000 0.5000 [1 per cell]